Compound: RbBa5Ir
Source: Alexandria
Functional: PBE
Structure: optimized geometry

Output
Magnetization = 0.0 Bohr magnetons per cell
D(E_F) = 17.29 states/eV per cell
ΔH_f (0 K) = 49.2 meV per atom

a = 10.6370 Å, b = 10.6370 Å, c = 11.3992 Å
α = 122.35°, β = 122.35°, γ = 74.91°
Positions (direct):
Rb (0.1611, 0.8389, 0.7500)
Rb (0.8389, 0.1611, 0.2500)
Ba (0.9995, 0.5000, 0.2592)
Ba (0.0005, 0.5000, 0.7408)
Ba (0.1768, 0.8232, 0.2500)
Ba (0.2960, 0.3514, 0.0736)
Ba (0.3514, 0.2960, 0.5736)
Ba (0.5000, 0.0005, 0.2408)
Ba (0.5000, 0.9995, 0.7592)
Ba (0.6486, 0.7040, 0.4264)
Ba (0.7040, 0.6486, 0.9264)
Ba (0.8232, 0.1768, 0.7500)
Ir (0.0000, 0.5000, 0.0000)
Ir (0.5000, 0.0000, 0.5000)